Entry 1:
Compound: MnMo5
Source: Alexandria via LeMat-Bulk
Functional: PBE
Structure: relaxed

## Properties
Size of the total moment in μB per formula unit: 0.163
Energy of formation in eV/atom: 0.269

```
MnMo5
1.0
2.675 0.000 0.000
0.000 2.675 0.000
0.000 0.000 12.834
Mo Mn
5 1
Direct
0.500 0.500 0.681
0.000 0.000 0.860
0.500 0.500 0.319
0.000 0.000 0.140
0.000 0.000 0.500
0.500 0.500 0.000
```

Entry 2:
Compound: MnMo
Source: Alexandria via LeMat-Bulk
Functional: PBE
Structure: relaxed

## Properties
Size of the total moment in μB per formula unit: 0.000
Energy of formation in eV/atom: 0.140

```
MnMo
1.0
2.649 0.014 0.000
-0.419 2.616 0.000
0.000 0.000 7.769
Mn Mo
2 2
Direct
0.500 0.500 0.783
0.000 0.000 0.967
0.500 0.500 0.226
0.000 0.000 0.524
```

Entry 3:
Compound: MnMo
Source: Alexandria via LeMat-Bulk
Functional: PBE
Structure: relaxed

## Properties
Size of the total moment in μB per formula unit: 0.000
Energy of formation in eV/atom: 0.148

```
MnMo
1.0
-1.250 0.061 2.338
-1.108 -2.350 -0.531
5.956 -3.549 3.277
Mn Mo
2 2
Direct
0.750 0.750 0.911
0.250 0.250 0.089
0.250 0.250 0.652
0.750 0.750 0.348
```

Entry 4:
Compound: MnMo
Source: Alexandria via LeMat-Bulk
Functional: PBE
Structure: relaxed

## Properties
Size of the total moment in μB per formula unit: 0.047
Energy of formation in eV/atom: 0.190

```
MnMo
1.0
1.467 4.885 -0.003
-1.467 4.885 -0.003
0.000 1.727 5.641
Mn Mo
3 3
Direct
0.001 0.001 0.042
0.614 0.614 0.232
0.639 0.639 0.716
0.304 0.304 0.361
0.975 0.975 0.564
0.300 0.300 0.918
```

Entry 5:
Compound: Mn2Mo3
Source: Alexandria via LeMat-Bulk
Functional: PBE
Structure: relaxed

## Properties
Size of the total moment in μB per formula unit: 0.005
Energy of formation in eV/atom: 0.283

```
Mn2Mo3
1.0
0.000 4.571 6.285
2.456 0.000 6.285
2.456 4.571 0.000
Mn Mo
4 6
Direct
0.203 0.903 0.347
0.347 0.047 0.702
0.903 0.702 0.047
0.548 0.347 0.903
0.087 0.913 0.913
0.782 0.503 0.834
0.747 0.468 0.369
0.416 0.369 0.468
0.337 0.163 0.163
0.881 0.834 0.503
```

Entry 6:
Compound: Mn2Mo
Source: Alexandria via LeMat-Bulk
Functional: PBE
Structure: relaxed

## Properties
Size of the total moment in μB per formula unit: 3.671
Energy of formation in eV/atom: 0.799

```
Mn2Mo
1.0
3.938 0.000 0.000
0.000 3.938 0.000
0.000 0.000 3.088
Mn Mo
2 1
Direct
0.500 0.000 0.500
0.000 0.500 0.500
0.000 0.000 0.000
```

Entry 7:
Compound: Mn6Mo7
Source: Alexandria via LeMat-Bulk
Functional: PBE
Structure: relaxed

## Properties
Size of the total moment in μB per formula unit: 14.656
Energy of formation in eV/atom: 0.407

```
Mn6Mo7
1.0
-3.837 1.050 8.457
-0.871 -3.121 8.767
1.220 1.546 9.136
Mo Mn
7 6
Direct
0.500 0.500 0.500
0.083 0.588 0.588
0.412 0.917 0.412
0.412 0.412 0.917
0.588 0.588 0.083
0.588 0.083 0.588
0.917 0.412 0.412
0.667 0.667 0.667
0.333 0.333 0.333
0.148 0.148 0.148
0.852 0.852 0.852
0.959 0.959 0.959
0.041 0.041 0.041
```

Entry 8:
Compound: MnMo
Source: Alexandria via LeMat-Bulk
Functional: PBE
Structure: relaxed

## Properties
Size of the total moment in μB per formula unit: 0.000
Energy of formation in eV/atom: 0.338

```
MnMo
1.0
-1.777 -0.692 -1.873
7.402 -3.125 -3.961
-1.340 -2.303 0.215
Mn Mo
2 2
Direct
0.258 0.773 0.258
0.992 0.977 0.992
0.506 0.519 0.506
0.744 0.231 0.744
```

Entry 9:
Compound: Mn5Mo3
Source: Alexandria via LeMat-Bulk
Functional: PBE
Structure: relaxed

## Properties
Size of the total moment in μB per formula unit: 0.066
Energy of formation in eV/atom: 0.240

```
Mn5Mo3
1.0
8.391 1.411 0.000
5.407 6.547 0.000
0.000 0.000 4.569
Mn Mo
10 6
Direct
0.360 0.362 0.000
0.760 0.006 0.750
0.874 0.129 0.250
0.240 0.994 0.250
0.360 0.362 0.500
0.640 0.638 0.500
0.004 0.762 0.250
0.126 0.871 0.750
0.996 0.238 0.750
0.640 0.638 0.000
0.945 0.614 0.750
0.055 0.386 0.250
0.621 0.379 0.750
0.386 0.055 0.750
0.614 0.945 0.250
0.379 0.621 0.250
```

Entry 10:
Compound: Mn4Mo3
Source: Alexandria via LeMat-Bulk
Functional: PBE
Structure: relaxed

## Properties
Size of the total moment in μB per formula unit: 9.294
Energy of formation in eV/atom: 0.371

```
Mn4Mo3
1.0
-4.563 -2.062 0.502
3.729 -2.629 -2.121
1.229 -1.685 4.249
Mn Mo
4 3
Direct
0.333 0.667 0.500
0.667 0.333 0.500
0.000 0.000 0.274
0.000 0.000 0.726
0.000 0.500 0.000
0.500 0.000 0.000
0.500 0.500 0.000
```

Entry 11:
Compound: Mn2Mo3
Source: Alexandria via LeMat-Bulk
Functional: PBE
Structure: relaxed

## Properties
Size of the total moment in μB per formula unit: 0.000
Energy of formation in eV/atom: 0.367

```
Mn2Mo3
1.0
-2.962 -0.238 -10.691
-2.230 -2.855 -10.488
-4.755 -2.089 -9.806
Mo Mn
3 2
Direct
0.000 0.000 0.000
0.204 0.204 0.204
0.796 0.796 0.796
0.602 0.602 0.602
0.398 0.398 0.398
```

Entry 12:
Compound: Mn3Mo2
Source: Alexandria via LeMat-Bulk
Functional: PBE
Structure: relaxed

## Properties
Size of the total moment in μB per formula unit: 0.003
Energy of formation in eV/atom: 0.212

```
Mn3Mo2
1.0
0.000 4.185 5.977
2.625 0.000 5.977
2.625 4.185 0.000
Mn Mo
6 4
Direct
0.443 0.831 0.956
0.279 0.221 0.221
0.771 0.956 0.831
0.029 0.971 0.971
0.294 0.479 0.807
0.419 0.807 0.479
0.001 0.402 0.841
0.409 0.493 0.249
0.848 0.249 0.493
0.757 0.841 0.402
```